(1)
Below is an optimized crystal structure of YPdI2O, with properties calculated at the PBE level.

Values from the calculation:
**Volume**: 124.71 Å³/cell
**Energy**: -4.2956 eV/atom
**SG**: P4/mmm, No. 123
**Density**: 6.19 g/cm3
**N(E_F)**: 6.35 states/eV/f.u.
**ΔE_f (raw)**: -0.352 eV/atom

a = 5.6088 Å, b = 5.6088 Å, c = 3.9642 Å
α = 90.00°, β = 90.00°, γ = 90.00°
With the nearest neighbours (Å) after each atom.
Element x y z (fractional)
I1 0.0000 0.5000 0.0000  2 Pd 2.80
I2 0.5000 0.0000 0.0000  2 Pd 2.80
Y1 0.5000 0.5000 0.5000  8 I 3.43
O1 0.0000 0.0000 0.5000  2 Pd 1.98
Pd1 0.0000 0.0000 0.0000  2 O 1.98



(2)
Below is an optimized crystal structure of TlTcMo, with properties calculated at the PBE level.

Values from the calculation:
**Volume**: 231.15 Å³/cell
**Energy**: -7.5588 eV/atom
**SG**: I4mm, No. 107
**Density**: 11.45 g/cm3
**Formation energy**: 0.296 eV/atom
**N(E_F)**: 1.81 states/eV/f.u.

a = 3.1480 Å, b = 3.1480 Å, c = 23.3261 Å
α = 90.00°, β = 90.00°, γ = 90.00°
With the nearest neighbours (Å) after each atom.
Element x y z (fractional)
Tl1 0.0000 0.0000 0.1447  5 Tl 3.00-3.15, 4 Tc 3.08
Tl2 0.5000 0.5000 0.6447  5 Tl 3.00-3.15, 4 Tc 3.08
Tl3 0.0000 0.0000 0.0160  5 Tl 3.00-3.15, 4 Mo 3.08
Tl4 0.5000 0.5000 0.5160  5 Tl 3.00-3.15, 4 Mo 3.08
Tc1 0.0000 0.0000 0.2929  4 Tc 2.60, 4 Mo 2.78
Tc2 0.5000 0.5000 0.7929  4 Tc 2.60, 4 Mo 2.78
Tc3 0.0000 0.0000 0.7356  4 Tc 2.60
Tc4 0.5000 0.5000 0.2356  4 Tc 2.60
Mo1 0.0000 0.0000 0.8640  4 Mo 2.64, 4 Tc 2.78
Mo2 0.5000 0.5000 0.3640  4 Mo 2.64, 4 Tc 2.78
Mo3 0.0000 0.0000 0.4248  4 Mo 2.64
Mo4 0.5000 0.5000 0.9248  4 Mo 2.64



(3)
Below is an optimized crystal structure of La4Au2S, with properties calculated at the PBE level.

Values from the calculation:
**Volume**: 225.56 Å³/cell
**Energy**: -5.2298 eV/atom
**SG**: I4/mmm, No. 139
**Density**: 7.23 g/cm3
**N(E_F)**: 7.93 states/eV/f.u.
**ΔE_f (raw)**: -0.888 eV/atom

a = 5.5151 Å, b = 5.5151 Å, c = 8.3786 Å
α = 109.22°, β = 109.22°, γ = 90.00°
With the nearest neighbours (Å) after each atom.
Element x y z (fractional)
S1 0.0000 0.0000 0.0000  6 La 2.76-2.87
Au1 0.6112 0.6112 0.2223  5 La 2.90-3.21
Au2 0.3888 0.3888 0.7777  5 La 2.90-3.21
La1 0.8068 0.8068 0.6135  1 S 2.87, 1 Au 2.90
La2 0.1932 0.1932 0.3865  1 S 2.87, 1 Au 2.90
La3 0.0000 0.5000 0.0000  2 S 2.76
La4 0.5000 0.0000 0.0000  2 S 2.76



(4)
Below is an optimized crystal structure of Na4Pa3OsN8, with properties calculated at the PBE level.

Values from the calculation:
**Volume**: 234.63 Å³/cell
**Energy**: -7.7521 eV/atom
**SG**: R-3m, No. 166
**Density**: 7.70 g/cm3
**N(E_F)**: 4.09 states/eV/f.u.
**ΔE_f (raw)**: -0.777 eV/atom

a = 6.8862 Å, b = 6.9617 Å, c = 6.8861 Å
α = 119.66°, β = 120.00°, γ = 90.00°
With the nearest neighbours (Å) after each atom.
Element x y z (fractional)
Na1 0.5000 0.0000 0.0000  6 N 2.74
Na2 0.5000 0.0000 0.5000  6 N 2.64-2.66
Na3 0.0000 0.0000 0.0000  6 N 2.64-2.66
Na4 0.0000 0.0000 0.5000  6 N 2.64-2.66
Pa1 0.5000 0.5000 0.0000  6 N 2.26-2.30
Pa2 0.5000 0.5000 0.5000  6 N 2.26-2.30
Pa3 0.0000 0.5000 0.5000  6 N 2.26-2.30
Os1 0.0000 0.5000 0.0000  6 N 2.18
N1 0.2213 0.6876 0.9665  1 Os 2.18, 2 Pa 2.30
N2 0.2213 0.6877 0.4426  1 Os 2.18, 2 Pa 2.30
N3 0.2701 0.3105 0.5402  3 Pa 2.26
N4 0.7452 0.6876 0.9665  1 Os 2.18, 2 Pa 2.30
N5 0.2548 0.3124 0.0335  1 Os 2.18, 2 Pa 2.30
N6 0.7299 0.6895 0.4598  3 Pa 2.26
N7 0.7787 0.3123 0.5574  1 Os 2.18, 2 Pa 2.30
N8 0.7787 0.3124 0.0335  1 Os 2.18, 2 Pa 2.30



(5)
Below is an optimized crystal structure of TcBr2F, with properties calculated at the PBE level.

Values from the calculation:
**Volume**: 62.33 Å³/cell
**Energy**: -3.8741 eV/atom
**SG**: Fm-3m, No. 225
**Density**: 7.37 g/cm3
**N(E_F)**: 1.63 states/eV/f.u.
**ΔE_f (raw)**: 0.022 eV/atom

a = 4.4505 Å, b = 4.4505 Å, c = 4.4505 Å
α = 60.00°, β = 60.00°, γ = 60.00°
With the nearest neighbours (Å) after each atom.
Element x y z (fractional)
Tc1 0.5000 0.5000 0.5000  8 Br 2.73
Br1 0.2500 0.2500 0.2500  4 Tc 2.73, 4 F 2.73
Br2 0.7500 0.7500 0.7500  4 F 2.73, 4 Tc 2.73
F1 0.0000 0.0000 0.0000  8 Br 2.73



(6)
Below is an optimized crystal structure of GeAs2Pt, with properties calculated at the PBE level.

Values from the calculation:
**Volume**: 188.45 Å³/cell
**Energy**: -5.1065 eV/atom
**SG**: I-42d, No. 122
**Density**: 7.36 g/cm3
**Formation energy**: -0.117 eV/atom
**N(E_F)**: 1.12 states/eV/f.u.

a = 5.7689 Å, b = 5.7689 Å, c = 6.9789 Å
α = 65.59°, β = 65.59°, γ = 90.00°
With the nearest neighbours (Å) after each atom.
Element x y z (fractional)
As1 0.6401 0.1250 0.2500  2 Pt 2.43, 2 Ge 2.53
As2 0.1099 0.6250 0.2500  2 Pt 2.43, 2 Ge 2.53
As3 0.3750 0.3599 0.7500  2 Pt 2.43, 2 Ge 2.53
As4 0.8750 0.8901 0.7500  2 Pt 2.43, 2 Ge 2.53
Ge1 0.5000 0.5000 0.0000  4 As 2.53
Ge2 0.2500 0.7500 0.5000  4 As 2.53
Pt1 0.0000 0.0000 0.0000  4 As 2.43
Pt2 0.7500 0.2500 0.5000  4 As 2.43



(7)
Below is an optimized crystal structure of TbGa2Pd3, with properties calculated at the PBE level.

Values from the calculation:
**Volume**: 323.45 Å³/cell
**Energy**: -5.1627 eV/atom
**SG**: C2/m, No. 12
**Density**: 9.51 g/cm3
**Formation energy**: -0.786 eV/atom
**N(E_F)**: 2.96 states/eV/f.u.

a = 4.0342 Å, b = 8.6717 Å, c = 9.9727 Å
α = 107.09°, β = 90.00°, γ = 103.45°
With the nearest neighbours (Å) after each atom.
Element x y z (fractional)
Tb1 0.1637 0.3275 0.7058  6 Ga 3.13-3.19, 6 Pd 3.19-3.50
Tb2 0.8363 0.6725 0.2942  6 Ga 3.13-3.19, 6 Pd 3.19-3.50
Tb3 0.0000 0.0000 0.0000  6 Pd 3.03-3.18, 6 Ga 3.13-3.21
Ga1 0.1940 0.3881 0.1274  6 Pd 2.54-2.62
Ga2 0.8060 0.6119 0.8726  6 Pd 2.54-2.62
Ga3 0.4585 0.9170 0.2198  5 Pd 2.48-2.71
Ga4 0.5415 0.0830 0.7802  5 Pd 2.48-2.71
Ga5 0.3619 0.7238 0.5441  7 Pd 2.47-2.66
Ga6 0.6381 0.2762 0.4559  7 Pd 2.47-2.66
Pd1 0.0406 0.0811 0.3330  4 Ga 2.51-2.66
Pd2 0.9594 0.9189 0.6670  4 Ga 2.51-2.66
Pd3 0.2160 0.4319 0.3917  4 Ga 2.47-2.59
Pd4 0.7840 0.5681 0.6083  4 Ga 2.47-2.59
Pd5 0.6136 0.2272 0.1915  4 Ga 2.54-2.71, 1 Pd 2.85
Pd6 0.3864 0.7728 0.8085  4 Ga 2.54-2.71, 1 Pd 2.85
Pd7 0.5000 0.0000 0.5000  4 Ga 2.50-2.67
Pd8 0.3204 0.6407 0.0395  4 Ga 2.48-2.58
Pd9 0.6796 0.3593 0.9605  4 Ga 2.48-2.58



(8)
Below is an optimized crystal structure of SbWSe2, with properties calculated at the PBE level.

Values from the calculation:
**Volume**: 183.87 Å³/cell
**Energy**: -5.9503 eV/atom
**SG**: P1, No. 1
**Density**: 8.37 g/cm3
**N(E_F)**: 1.19 states/eV/f.u.
**ΔE_f (raw)**: 0.061 eV/atom

a = 5.5797 Å, b = 6.2210 Å, c = 6.4324 Å
α = 66.75°, β = 81.60°, γ = 63.75°
With the nearest neighbours (Å) after each atom.
Element x y z (fractional)
Sb1 0.9557 0.4086 0.4177  3 W 2.77-2.82, 1 Sb 3.02, 1 Se 3.04
Sb2 0.7205 0.5490 0.9638  2 Se 2.82-2.97, 2 W 2.95-2.99, 1 Sb 3.02
W1 0.4549 0.4076 0.3949  4 Se 2.55-2.69, 2 Sb 2.77-2.82, 1 W 2.77
W2 0.3053 0.2797 0.0828  4 Se 2.50-2.62, 1 W 2.77
Se1 0.6295 0.0713 0.8086  2 W 2.62-2.64, 1 Sb 2.82
Se2 0.2690 0.6396 0.6973  2 W 2.56-2.69
Se3 0.7110 0.9803 0.3385  2 W 2.50-2.55, 1 Se 2.73
Se4 0.2004 0.9041 0.1515  2 W 2.51-2.64, 1 Se 2.73



(9)
Below is an optimized crystal structure of SrYRe, with properties calculated at the PBE level.

Values from the calculation:
**Volume**: 74.65 Å³/cell
**Energy**: -6.0477 eV/atom
**SG**: P3m1, No. 156
**Density**: 8.07 g/cm3
**Formation energy**: 0.817 eV/atom
**N(E_F)**: 1.79 states/eV/f.u.

a = 5.1819 Å, b = 5.1819 Å, c = 3.2102 Å
α = 90.00°, β = 90.00°, γ = 120.00°
With the nearest neighbours (Å) after each atom.
Element x y z (fractional)
Re1 0.0000 0.0000 0.8353  3 Y 2.99, 2 Re 3.21
Sr1 0.6667 0.3333 0.3332  2 Sr 3.21, 6 Re 3.39-3.40, 6 Y 3.39-3.40
Y1 0.3333 0.6667 0.8315  3 Re 2.99, 2 Y 3.21



(10)
Below is an optimized crystal structure of Co2CuAu, with properties calculated at the PBE level.

Values from the calculation:
**Volume**: 52.61 Å³/cell
**Energy**: -5.1272 eV/atom
**SG**: P4/mmm, No. 123
**Density**: 11.94 g/cm3
**Formation energy**: 0.269 eV/atom
**N(E_F)**: 4.78 states/eV/f.u.

a = 2.7056 Å, b = 2.7056 Å, c = 7.1877 Å
α = 90.00°, β = 90.00°, γ = 90.00°
With the nearest neighbours (Å) after each atom.
Element x y z (fractional)
Au1 0.5000 0.5000 0.7500  4 Au 2.71, 8 Co 2.75
Co1 0.0000 0.0000 0.0241  4 Cu 2.51, 4 Co 2.71, 4 Au 2.75
Co2 0.0000 0.0000 0.4759  4 Cu 2.51, 4 Co 2.71, 4 Au 2.75
Cu1 0.5000 0.5000 0.2500  8 Co 2.51, 4 Cu 2.71



(11)
Below is an optimized crystal structure of Ca2CdSe4, with properties calculated at the PBE level.

Values from the calculation:
**Volume**: 204.35 Å³/cell
**Energy**: -3.5207 eV/atom
**SG**: I4/mmm, No. 139
**Density**: 4.13 g/cm3
**N(E_F)**: 5.72 states/eV/f.u.
**ΔE_f (raw)**: -0.827 eV/atom

a = 5.2267 Å, b = 5.2267 Å, c = 8.3437 Å
α = 71.75°, β = 71.75°, γ = 90.00°
With the nearest neighbours (Å) after each atom.
Element x y z (fractional)
Ca1 0.3798 0.3798 0.2404  1 Se 2.77
Ca2 0.6202 0.6202 0.7596  1 Se 2.77
Se1 0.1948 0.1948 0.6105  1 Ca 2.77, 1 Cd 2.91
Se2 0.8052 0.8052 0.3895  1 Ca 2.77, 1 Cd 2.91
Se3 0.0000 0.5000 0.0000  2 Cd 2.61
Se4 0.5000 0.0000 0.0000  2 Cd 2.61
Cd1 0.0000 0.0000 0.0000  6 Se 2.61-2.91



(12)
Below is an optimized crystal structure of In3SbS2, with properties calculated at the PBE level.

Values from the calculation:
**Volume**: 309.77 Å³/cell
**Energy**: -3.7232 eV/atom
**SG**: P1, No. 1
**Density**: 5.69 g/cm3
**N(E_F)**: 1.89 states/eV/f.u.
**ΔE_f (raw)**: -0.291 eV/atom

a = 4.1632 Å, b = 4.3039 Å, c = 17.2882 Å
α = 90.00°, β = 90.00°, γ = 89.99°
With the nearest neighbours (Å) after each atom.
Element x y z (fractional)
Sb1 0.0023 0.9678 0.5697  6 In 2.92-3.10
Sb2 0.5027 0.4689 0.0564  6 In 2.92-3.10
S1 0.5039 0.4769 0.3932  4 In 2.74-2.86
S2 0.5011 0.4726 0.7431  3 In 2.58-2.68
S3 0.0012 0.9725 0.8828  3 In 2.58-2.68
S4 0.0046 0.9772 0.2329  4 In 2.74-2.86
In1 0.0027 0.9737 0.0741  1 S 2.75, 4 Sb 2.99-3.02
In2 0.5048 0.5207 0.2352  3 S 2.74-2.86
In3 0.0049 0.0210 0.3908  3 S 2.74-2.86
In4 0.5024 0.4729 0.5520  1 S 2.75, 4 Sb 2.99-3.03
In5 0.0012 0.0802 0.7360  3 S 2.58-2.68
In6 0.5013 0.5801 0.8900  3 S 2.58-2.68